Material: Gd2ScFe
Method: DFT, PBE
State: relaxed

Cell lengths 10.6273, 10.6273, 10.6273 Å; angles 18.03, 18.03, 18.03 degrees
Atoms (fractional coordinates):
Gd (0.0772, 0.0772, 0.0772)
Gd (0.9228, 0.9228, 0.9228)
Sc (0.5000, 0.5000, 0.5000)
Fe (0.0000, 0.0000, 0.0000)

energy of formation from the pure elements: 0.59 eV/atom
crystal system: trigonal
density of states at the Fermi level: 5.62 states/eV/f.u.